A relaxed AlRuRh2 crystal. Source: Alexandria, functional PBE-GGA.

Calculated formation energy (kJ/mol of atoms): -23
Crystal system: trigonal

Unit cell a=8.6455 b=8.6455 c=8.6455 alpha=18.43 beta=18.43 gamma=18.43
Last column: nearest neighbours and their distance in Å.
Sites, in units of the cell vectors:
Rh (0.0043, 0.0043, 0.0043)  3 Al 2.55, 9 Rh 2.77-2.78
Rh (0.2485, 0.2485, 0.2485)  3 Ru 2.67, 9 Rh 2.77-2.78
Al (0.7490, 0.7490, 0.7490)  3 Rh 2.55, 3 Ru 2.64, 6 Al 2.77
Ru (0.4982, 0.4982, 0.4982)  3 Al 2.64, 3 Rh 2.67, 6 Ru 2.77

---

A relaxed CuAsO3 crystal. Source: Alexandria, functional PBE-GGA.

ΔE_f (raw) (kJ/mol of formula units): -403.6
Crystal system: monoclinic

Unit cell a=3.2117 b=5.4269 c=7.9764 alpha=96.82 beta=90.00 gamma=90.00
Last column: nearest neighbours and their distance in Å.
Sites, in units of the cell vectors:
As (0.7500, 0.2040, 0.7910)  4 O 1.74-1.84
As (0.2500, 0.7960, 0.2090)  4 O 1.74-1.84
O (0.7500, 0.9097, 0.6763)  1 As 1.74
O (0.7500, 0.4307, 0.6497)  1 As 1.76
O (0.2500, 0.2379, 0.9052)  2 As 1.84
O (0.2500, 0.0903, 0.3237)  1 As 1.74
O (0.7500, 0.7621, 0.0948)  2 As 1.84
O (0.2500, 0.5693, 0.3503)  1 As 1.76
Cu (0.2500, 0.6789, 0.6463)  4 O 2.03-2.10
Cu (0.7500, 0.3211, 0.3537)  4 O 2.03-2.10

---

A relaxed TaRuSe crystal. Source: Alexandria, functional PBE-GGA.

ΔE_f (raw) (kJ/mol of formula units): -21.2
Energy relative to the lowest polymorph listed for this composition (kJ/mol of formula units): 54.9
Crystal system: trigonal

Unit cell a=3.2852 b=3.2852 c=6.0085 alpha=90.00 beta=90.00 gamma=120.00
Last column: nearest neighbours and their distance in Å.
Sites, in units of the cell vectors:
Ta (0.3333, 0.6667, 0.6790)  3 Ru 2.53, 3 Se 2.68
Se (0.6667, 0.3333, 0.3632)  3 Ta 2.68
Ru (0.0000, 0.0000, 0.9578)  3 Ta 2.53

---

A relaxed Li2ScPt2 crystal. Source: Alexandria, functional PBE-GGA.

Calculated formation energy (kJ/mol of atoms): -64
Energy relative to the lowest polymorph listed for this composition (kJ/mol of formula units): 57.3
Crystal system: tetragonal

Unit cell a=7.3255 b=7.3255 c=2.8791 alpha=90.00 beta=90.00 gamma=90.00
Last column: nearest neighbours and their distance in Å.
Sites, in units of the cell vectors:
Li (0.6228, 0.8772, 0.5000)  1 Li 2.55, 6 Pt 2.55-2.63
Pt (0.3263, 0.8263, 0.0000)  6 Li 2.55-2.63, 2 Sc 2.71
Li (0.1228, 0.6228, 0.5000)  1 Li 2.55, 6 Pt 2.55-2.63
Sc (0.5000, 0.5000, 0.0000)  4 Pt 2.71, 2 Sc 2.88
Pt (0.8263, 0.6737, 0.0000)  6 Li 2.55-2.63, 2 Sc 2.71
Sc (0.0000, 0.0000, 0.0000)  4 Pt 2.71, 2 Sc 2.88
Pt (0.6737, 0.1737, 0.0000)  6 Li 2.55-2.63, 2 Sc 2.71
Li (0.8772, 0.3772, 0.5000)  1 Li 2.55, 6 Pt 2.55-2.63
Li (0.3772, 0.1228, 0.5000)  1 Li 2.55, 6 Pt 2.55-2.63
Pt (0.1737, 0.3263, 0.0000)  6 Li 2.55-2.63, 2 Sc 2.71

---

A relaxed Eu2TiNbO6 crystal. Source: Alexandria, functional PBE-GGA.

ΔE_f (raw) (kJ/mol of formula units): -2827.6
Crystal system: cubic

Unit cell a=5.6673 b=5.6673 c=5.6673 alpha=60.00 beta=60.00 gamma=60.00
Last column: nearest neighbours and their distance in Å.
Sites, in units of the cell vectors:
O (0.7529, 0.2471, 0.7529)  1 Ti 1.98, 1 Nb 2.03
O (0.7529, 0.7529, 0.2471)  1 Ti 1.98, 1 Nb 2.03
Ti (0.0000, 0.0000, 0.0000)  6 O 1.98
Eu (0.2500, 0.2500, 0.2500)  12 O 2.83
O (0.2471, 0.2471, 0.7529)  1 Ti 1.98, 1 Nb 2.03
O (0.7529, 0.2471, 0.2471)  1 Ti 1.98, 1 Nb 2.03
Nb (0.5000, 0.5000, 0.5000)  6 O 2.03
Eu (0.7500, 0.7500, 0.7500)  12 O 2.83
O (0.2471, 0.7529, 0.7529)  1 Ti 1.98, 1 Nb 2.03
O (0.2471, 0.7529, 0.2471)  1 Ti 1.98, 1 Nb 2.03

---

A relaxed V6Ga2Co crystal. Source: Alexandria, functional PBE-GGA.

Calculated formation energy (kJ/mol of atoms): 13
Crystal system: monoclinic

Unit cell a=4.8001 b=5.5462 c=5.5462 alpha=59.83 beta=89.80 gamma=89.80
Last column: nearest neighbours and their distance in Å.
Sites, in units of the cell vectors:
V (0.6920, 0.6457, 0.1769)  1 Co 2.25, 2 V 2.51
V (0.6910, 0.1780, 0.1780)  1 Co 2.26, 2 V 2.51
V (0.3080, 0.3543, 0.8231)  1 Co 2.25, 2 V 2.51
Co (0.0000, 0.0000, 0.0000)  6 V 2.25-2.26
V (0.3080, 0.8231, 0.3543)  1 Co 2.25, 2 V 2.51
Ga (0.1995, 0.3337, 0.3337)  12 V 2.79-2.87
V (0.6920, 0.1769, 0.6457)  1 Co 2.25, 2 V 2.51
Ga (0.8005, 0.6663, 0.6663)  12 V 2.79-2.87
V (0.3090, 0.8220, 0.8220)  1 Co 2.26, 2 V 2.51

---

A relaxed ZrScAs crystal. Source: Alexandria, functional PBE-GGA.

Calculated formation energy (kJ/mol of atoms): -70
Crystal system: tetragonal

Unit cell a=5.4348 b=5.4347 c=3.5319 alpha=71.04 beta=71.04 gamma=37.92
Last column: nearest neighbours and their distance in Å.
Sites, in units of the cell vectors:
As (0.0020, 0.0020, 0.9980)  4 Zr 2.89, 4 Sc 2.92
Zr (0.6536, 0.6536, 0.3464)  4 As 2.89, 5 Sc 2.98-3.10
Sc (0.3444, 0.3444, 0.6556)  4 As 2.92, 5 Zr 2.98-3.10

---

A relaxed NaCo4As12 crystal. Source: Alexandria, functional PBE-GGA.

Calculated formation energy (kJ/mol of atoms): -30
Crystal system: cubic

Unit cell a=7.2202 b=7.2202 c=7.2202 alpha=109.47 beta=109.47 gamma=109.47
Last column: nearest neighbours and their distance in Å.
Sites, in units of the cell vectors:
Co (0.5000, 0.0000, 0.0000)  6 As 2.37
As (0.3434, 0.4969, 0.1534)  2 Co 2.37, 2 As 2.56-2.61
As (0.6566, 0.8100, 0.1534)  2 Co 2.37, 2 As 2.56-2.61
As (0.8466, 0.3434, 0.1900)  2 Co 2.37, 2 As 2.56-2.61
As (0.4969, 0.1534, 0.3434)  2 Co 2.37, 2 As 2.56-2.61
As (0.3434, 0.1900, 0.8466)  2 Co 2.37, 2 As 2.56-2.61
Na (0.0000, 0.0000, 0.0000)  12 As 3.14
As (0.8100, 0.1534, 0.6566)  2 Co 2.37, 2 As 2.56-2.61
As (0.1534, 0.3434, 0.4969)  2 Co 2.37, 2 As 2.56-2.61
As (0.1534, 0.6566, 0.8100)  2 Co 2.37, 2 As 2.56-2.61
Co (0.0000, 0.5000, 0.0000)  6 As 2.37
As (0.1900, 0.8466, 0.3434)  2 Co 2.37, 2 As 2.56-2.61
As (0.5031, 0.8466, 0.6566)  2 Co 2.37, 2 As 2.56-2.61
Co (0.0000, 0.0000, 0.5000)  6 As 2.37
As (0.8466, 0.6566, 0.5031)  2 Co 2.37, 2 As 2.56-2.61
Co (0.5000, 0.5000, 0.5000)  6 As 2.37
As (0.6566, 0.5031, 0.8466)  2 Co 2.37, 2 As 2.56-2.61

---

A relaxed LaMgSe3 crystal. Source: Alexandria, functional PBE-GGA.

ΔE_f (raw) (kJ/mol of formula units): -581.6
Energy relative to the lowest polymorph listed for this composition (kJ/mol of formula units): 0.0
Crystal system: monoclinic

Unit cell a=7.3299 b=7.3299 c=7.2059 alpha=74.85 beta=74.85 gamma=109.62
Last column: nearest neighbours and their distance in Å.
Sites, in units of the cell vectors:
Se (0.7617, 0.0694, 0.8520)  1 Mg 2.70, 1 La 2.95
Mg (0.6607, 0.3393, 0.0000)  4 Se 2.66-2.70
Se (0.9306, 0.2383, 0.1480)  1 Mg 2.70, 1 La 2.95
Se (0.4182, 0.4182, 0.2836)  2 Mg 2.66
La (0.7828, 0.7828, 0.2514)  6 Se 2.95-3.16
La (0.2172, 0.2172, 0.7486)  6 Se 2.95-3.16
Se (0.5818, 0.5818, 0.7164)  2 Mg 2.66
Se (0.0694, 0.7617, 0.8520)  1 Mg 2.70, 1 La 2.95
Mg (0.3393, 0.6607, 0.0000)  4 Se 2.66-2.70
Se (0.2383, 0.9306, 0.1480)  1 Mg 2.70, 1 La 2.95

---

A relaxed CsLa2OsBr crystal. Source: Alexandria, functional PBE-GGA.

ΔE_f (raw) (kJ/mol of formula units): -92.4
Crystal system: tetragonal

Unit cell a=5.3894 b=7.4728 c=5.3894 alpha=90.00 beta=90.00 gamma=90.00
Last column: nearest neighbours and their distance in Å.
Sites, in units of the cell vectors:
La (0.5000, 0.0000, 0.0000)  2 Os 2.69
La (0.0000, 0.0000, 0.5000)  2 Os 2.69
Cs (0.0000, 0.5000, 0.0000)  2 Os 3.74, 4 Br 3.81
Os (0.0000, 0.0000, 0.0000)  4 La 2.69
Br (0.5000, 0.5000, 0.5000)  4 Cs 3.81

---

A relaxed BeCuTc2 crystal. Source: Alexandria, functional PBE-GGA.

Calculated formation energy (kJ/mol of atoms): 1
Crystal system: monoclinic

Unit cell a=4.6579 b=4.6579 c=4.1073 alpha=63.91 beta=63.91 gamma=38.47
Last column: nearest neighbours and their distance in Å.
Sites, in units of the cell vectors:
Tc (0.7681, 0.7681, 0.7324)  2 Be 2.45, 4 Cu 2.59, 4 Tc 2.62-2.71
Cu (0.2224, 0.2224, 0.2782)  2 Be 2.23
Be (0.5141, 0.5141, 0.4850)  2 Cu 2.23, 2 Tc 2.45
Tc (0.9953, 0.9953, 0.0044)  4 Be 2.57, 4 Tc 2.62-2.71, 4 Cu 2.62-2.71

---

A relaxed LiMg2Cd8 crystal. Source: Alexandria, functional PBE-GGA.

Calculated formation energy (kJ/mol of atoms): -2
Energy relative to the lowest polymorph listed for this composition (kJ/mol of formula units): 72.2
Crystal system: monoclinic

Unit cell a=5.3978 b=7.4431 c=7.8148 alpha=61.56 beta=78.58 gamma=65.42
Last column: nearest neighbours and their distance in Å.
Sites, in units of the cell vectors:
Cd (0.7136, 0.5933, 0.0000)  1 Li 2.76, 3 Cd 2.81-2.98, 2 Mg 3.05
Mg (0.0000, 0.3034, 0.3932)  8 Cd 2.95-3.05
Cd (0.5000, 0.2159, 0.5683)  2 Mg 2.95, 1 Li 2.97, 4 Cd 3.05-3.15
Cd (0.1986, 0.9009, 0.7754)  6 Cd 2.98-3.15, 2 Mg 3.00-3.02, 1 Li 3.10
Cd (0.8014, 0.0991, 0.2246)  6 Cd 2.98-3.15, 2 Mg 3.00-3.02, 1 Li 3.10
Cd (0.1986, 0.6763, 0.2246)  6 Cd 2.98-3.15, 2 Mg 3.00-3.02, 1 Li 3.10
Mg (0.0000, 0.6966, 0.6068)  8 Cd 2.95-3.05
Cd (0.2864, 0.4067, 0.0000)  1 Li 2.76, 3 Cd 2.81-2.98, 2 Mg 3.05
Cd (0.5000, 0.7841, 0.4317)  2 Mg 2.95, 1 Li 2.97, 4 Cd 3.05-3.15
Li (0.5000, 0.0000, 0.0000)  4 Cd 2.76-2.97
Cd (0.8014, 0.3237, 0.7754)  6 Cd 2.98-3.15, 2 Mg 3.00-3.02, 1 Li 3.10

---

A relaxed Sc2TlGaNi crystal. Source: Alexandria, functional PBE-GGA.

Calculated formation energy (kJ/mol of atoms): 9
Crystal system: tetragonal

Unit cell a=5.0889 b=4.4041 c=5.0889 alpha=90.00 beta=90.00 gamma=90.00
Last column: nearest neighbours and their distance in Å.
Sites, in units of the cell vectors:
Ga (0.0000, 0.0000, 0.0000)  2 Ni 2.20
Ni (0.0000, 0.5000, 0.0000)  2 Ga 2.20
Sc (0.0000, 0.0000, 0.5000)  2 Ga 2.54
Tl (0.5000, 0.5000, 0.5000)  8 Sc 3.37, 4 Ni 3.60
Sc (0.5000, 0.0000, 0.0000)  2 Ga 2.54

---

A relaxed La2CeSi3Ir4 crystal. Source: Alexandria, functional PBE-GGA.

ΔE_f (raw) (kJ/mol of formula units): -896.8
Crystal system: tetragonal

Unit cell a=4.2391 b=4.2391 c=10.8632 alpha=90.00 beta=90.00 gamma=90.00
Last column: nearest neighbours and their distance in Å.
Sites, in units of the cell vectors:
La (0.0000, 0.5000, 0.7691)  8 Ir 3.24-3.28, 6 Si 3.24-3.61, 2 Ce 3.61
Ir (0.5000, 0.5000, 0.0000)  4 Si 2.48
Si (0.0000, 0.5000, 0.1179)  5 Ir 2.45-2.48
Ir (0.0000, 0.0000, 0.0000)  4 Si 2.48
La (0.5000, 0.0000, 0.2309)  8 Ir 3.24-3.28, 6 Si 3.24-3.61, 2 Ce 3.61
Si (0.5000, 0.0000, 0.8821)  5 Ir 2.45-2.48
Ce (0.5000, 0.5000, 0.5000)  4 Ir 2.72, 4 Si 3.00
Si (0.0000, 0.0000, 0.5000)  4 Ir 2.72, 4 Ce 3.00
Ir (0.0000, 0.5000, 0.3432)  3 Si 2.45-2.72, 2 Ce 2.72
Ir (0.5000, 0.0000, 0.6568)  3 Si 2.45-2.72, 2 Ce 2.72

---

A relaxed Al4ZnPd crystal. Source: Alexandria, functional PBE-GGA.

Calculated formation energy (kJ/mol of atoms): 6
Energy relative to the lowest polymorph listed for this composition (kJ/mol of formula units): 188.3
Crystal system: orthorhombic

Unit cell a=3.8941 b=5.6369 c=5.6369 alpha=90.25 beta=90.00 gamma=90.00
Last column: nearest neighbours and their distance in Å.
Sites, in units of the cell vectors:
Al (0.0000, 0.1923, 0.1923)  1 Zn 2.45, 2 Pd 2.48
Zn (0.0000, 0.5000, 0.5000)  6 Al 2.45-2.50
Pd (0.5000, 0.0000, 0.0000)  6 Al 2.43-2.48
Al (0.0000, 0.8077, 0.8077)  1 Zn 2.45, 2 Pd 2.48
Al (0.5000, 0.3044, 0.6956)  1 Pd 2.43, 2 Zn 2.50
Al (0.5000, 0.6956, 0.3044)  1 Pd 2.43, 2 Zn 2.50